Here is MoIrPb2 at its PBEsol-relaxed geometry from Alexandria. Energies are from meta-GGA SCAN.

Properties
- E_tot: -63.56 eV/atom
- Space group: Pmmm (47)
- Calculated volume: 18.7 Å³/atom
- Excess energy over the best structure of this formula in the dataset: 364 meV per atom
- Spin magnetization: 0.23 μB/atom
- E_form: 0.831 eV/atom

```
data_MoIrPb2
_chemical_formula_sum 'Mo1 Ir1 Pb2'
_cell_length_a 3.213
_cell_length_b 3.546
_cell_length_c 6.559
_cell_angle_alpha 90.00
_cell_angle_beta 90.00
_cell_angle_gamma 90.00
_space_group_name_H-M_alt 'P 1'
_space_group_IT_number 1
loop_
_space_group_symop_operation_xyz
'x,y,z'
loop_
_atom_site_label
_atom_site_fract_x
_atom_site_fract_y
_atom_site_fract_z
Mo1 0.500 0.500 0.500
Pb1 0.000 0.000 0.249
Ir1 0.500 0.500 0.000
Pb2 0.000 0.000 0.751
```